This record from Alexandria via LeMat-Bulk describes a geometry-optimized Cs2CuCI6 structure. The functional is GGA-PBE.

Geometry as POSCAR:
```
Cs2CuCI6
1.0
7.860 0.000 0.000
0.000 7.860 0.000
3.930 3.930 5.616
Cs I C Cu
2 6 1 1
Direct
0.750 0.250 0.500
0.250 0.750 0.500
0.256 0.256 0.487
0.744 0.744 0.513
0.255 0.745 0.000
0.745 0.255 0.000
0.745 0.745 0.000
0.255 0.255 0.000
0.500 0.500 0.000
0.000 0.000 0.000
```

The value obtained for the density of states at the Fermi level is 9.46 states/eV/f.u. Its uncorrected formation energy is -0.12 eV/atom. The total moment is 0.00 μB/cell.

***

This record from Alexandria via LeMat-Bulk describes a geometry-optimized TbTlH structure. The functional is GGA-PBE.

Geometry as POSCAR:
```
TbTlH
1.0
3.759 -0.050 0.292
0.077 4.924 -0.136
1.398 0.816 6.441
Tb H Tl
2 2 2
Direct
0.343 0.715 0.813
0.657 0.285 0.187
0.234 0.351 0.033
0.766 0.649 0.967
0.925 0.231 0.649
0.075 0.769 0.351
```

The value obtained for the density of states at the Fermi level is 0.44 states/eV/f.u. Its polymorph energy (0 for the lowest one) is 0 meV/atom. The total moment is 0.00 μB/cell.

***

This record from Alexandria via LeMat-Bulk describes a geometry-optimized TiNb6In structure. The functional is GGA-PBE.

Geometry as POSCAR:
```
TiNb6In
1.0
4.637 0.000 0.000
0.000 5.478 -1.839
0.000 0.077 5.778
In Nb Ti
1 6 1
Direct
0.500 0.625 0.375
0.000 0.379 0.621
0.000 0.348 0.098
0.500 0.625 0.875
0.500 0.125 0.375
0.000 0.870 0.130
0.000 0.902 0.652
0.500 0.125 0.875
```

The value obtained for the density of states at the Fermi level is 10.10 states/eV/f.u. Its polymorph energy (0 for the lowest one) is 41 meV/atom. The calculation puts the formation energy at 0.423 kcal/mol of atoms. The total moment is 0.00 μB/cell.

***

This record from Alexandria via LeMat-Bulk describes a geometry-optimized PrTmPt10 structure. The functional is GGA-PBE.

Geometry as POSCAR:
```
PrTmPt10
1.0
4.456 0.000 0.000
0.000 5.396 0.000
0.000 0.000 9.296
Pt Tm Pr
10 1 1
Direct
0.500 0.251 0.253
0.000 0.000 0.338
0.000 0.500 0.173
0.500 0.000 0.500
0.000 0.500 0.827
0.000 0.000 0.662
0.500 0.749 0.253
0.500 0.251 0.747
0.500 0.500 0.000
0.500 0.749 0.747
0.000 0.500 0.500
0.000 0.000 0.000
```

The value obtained for the density of states at the Fermi level is 9.66 states/eV/f.u. The calculation puts the formation energy at -15.879 kcal/mol of atoms. The total moment is 0.00 μB/cell.